Below is a geometry-optimized HgPbSe2 structure, with properties calculated at the PBE level.

Structure (CIF):
```
data_HgPbSe2
_cell_length_a 7.1989
_cell_length_b 7.3411
_cell_length_c 3.8095
_cell_angle_alpha 90.00
_cell_angle_beta 90.00
_cell_angle_gamma 90.00
_space_group_name_H-M_alt 'C m m m'
_space_group_IT_number 65
_space_group_name_Hall '-C 2 2'
loop_
_atom_site_label
_atom_site_fract_x
_atom_site_fract_y
_atom_site_fract_z
Hg1 0.0000 0.0000 0.0000
Pb1 0.0000 0.5000 0.0000
Se1 0.2500 0.2500 0.5000
```

Output
E_form (uncorrected): -37 meV/atom
spin magnetization: 0.0 μB per formula unit
distance to the lowest polymorph of the same formula: 264 meV/atom
electronic total energy: -22.255 eV for the cell shown



Below is a geometry-optimized AcPrS2O structure, with properties calculated at the PBE level.

Structure (CIF):
```
data_AcPrS2O
_cell_length_a 4.1429
_cell_length_b 4.1429
_cell_length_c 14.5811
_cell_angle_alpha 90.00
_cell_angle_beta 90.00
_cell_angle_gamma 90.00
_space_group_name_H-M_alt 'P 4/n m m'
_space_group_IT_number 129
loop_
_space_group_symop_operation_xyz
'x,y,z'
'-x,-y,-z'
'-y+1/2,x,z'
'y+1/2,-x,-z'
'-x+1/2,-y+1/2,z'
'x+1/2,y+1/2,-z'
'y,-x+1/2,z'
'-y,x+1/2,-z'
'x+1/2,-y,-z'
'-x+1/2,y,z'
'-y,-x,-z'
'y,x,z'
'-x,y+1/2,-z'
'x,-y+1/2,z'
'y+1/2,x+1/2,-z'
'-y+1/2,-x+1/2,z'
loop_
_atom_site_label
_atom_site_fract_x
_atom_site_fract_y
_atom_site_fract_z
Ac1 0.2500 0.2500 0.0909
Pr1 0.2500 0.2500 0.6220
S1 0.2500 0.2500 0.4078
S2 0.2500 0.2500 0.8006
O1 0.2500 0.7500 0.0000
```

Output
E_form (uncorrected): -2512 meV/atom
spin magnetization: 0.0 μB per formula unit
electronic total energy: -69.325 eV for the cell shown



Below is a geometry-optimized Ti2AlAsP structure, with properties calculated at the PBE level.

Structure (CIF):
```
data_Ti2AlAsP
_cell_length_a 4.5725
_cell_length_b 4.5725
_cell_length_c 4.7692
_cell_angle_alpha 90.00
_cell_angle_beta 90.00
_cell_angle_gamma 90.00
_space_group_name_H-M_alt 'P 4/m m m'
_space_group_IT_number 123
_space_group_name_Hall '-P 4 2'
loop_
_atom_site_label
_atom_site_fract_x
_atom_site_fract_y
_atom_site_fract_z
Ti1 0.0000 0.5000 0.0000
Al1 0.0000 0.0000 0.5000
As1 0.5000 0.5000 0.5000
P1 0.5000 0.5000 0.0000
```

Output
spin magnetization: 0.0 μB per formula unit
electronic total energy: -28.876 eV for the cell shown
formation energy: 13.8 kJ per mole of atoms



Below is a geometry-optimized TiTlReI2 structure, with properties calculated at the PBE level.

Structure (CIF):
```
data_TiTlReI2
_cell_length_a 5.7156
_cell_length_b 5.7156
_cell_length_c 4.8100
_cell_angle_alpha 90.00
_cell_angle_beta 90.00
_cell_angle_gamma 90.00
_space_group_name_H-M_alt 'P 4/m m m'
_space_group_IT_number 123
_space_group_name_Hall '-P 4 2'
loop_
_atom_site_label
_atom_site_fract_x
_atom_site_fract_y
_atom_site_fract_z
Ti1 0.0000 0.0000 0.0000
Tl1 0.5000 0.5000 0.5000
Re1 0.0000 0.0000 0.5000
I1 0.0000 0.5000 0.0000
```

Output
E_form (uncorrected): 702 meV/atom
spin magnetization: 2.0 μB per formula unit
electronic total energy: -22.301 eV for the cell shown



Below is a geometry-optimized TbPmSiAu structure, with properties calculated at the PBE level.

Structure (CIF):
```
data_TbPmSiAu
_cell_length_a 7.2484
_cell_length_b 7.2484
_cell_length_c 7.2484
_cell_angle_alpha 90.00
_cell_angle_beta 90.00
_cell_angle_gamma 90.00
_space_group_name_H-M_alt 'F -4 3 m'
_space_group_IT_number 216
_space_group_name_Hall 'F -4 2 3'
loop_
_atom_site_label
_atom_site_fract_x
_atom_site_fract_y
_atom_site_fract_z
Tb1 0.0000 0.0000 0.0000
Pm1 0.0000 0.0000 0.5000
Si1 0.2500 0.2500 0.7500
Au1 0.2500 0.2500 0.2500
```

Output
E_form (uncorrected): -641 meV/atom
spin magnetization: 0.6 μB per formula unit
electronic total energy: -82.573 eV for the cell shown



Below is a geometry-optimized Dy6HoCd2 structure, with properties calculated at the PBE level.

Structure (CIF):
```
data_Dy6HoCd2
_cell_length_a 12.5753
_cell_length_b 3.7338
_cell_length_c 11.8341
_cell_angle_alpha 90.00
_cell_angle_beta 108.76
_cell_angle_gamma 90.00
_space_group_name_H-M_alt 'C 1 2/m 1'
_space_group_IT_number 12
loop_
_space_group_symop_operation_xyz
'x,y,z'
'-x,-y,-z'
'-x,y,-z'
'x,-y,z'
'x+1/2,y+1/2,z'
'-x+1/2,-y+1/2,-z'
'-x+1/2,y+1/2,-z'
'x+1/2,-y+1/2,z'
loop_
_atom_site_label
_atom_site_fract_x
_atom_site_fract_y
_atom_site_fract_z
Dy1 0.0152 0.0000 0.3391
Dy2 0.1853 0.5000 0.8771
Dy3 0.1878 0.5000 0.5843
Ho1 0.0000 0.0000 0.0000
Cd1 0.1455 0.5000 0.2072
```

Output
spin magnetization: 0.0 μB per formula unit
electronic total energy: -70.359 eV for the cell shown
formation energy: -12.4 kJ per mole of atoms



Below is a geometry-optimized LiAcHoPb structure, with properties calculated at the PBE level.

Structure (CIF):
```
data_LiAcHoPb
_cell_length_a 7.8597
_cell_length_b 7.8597
_cell_length_c 7.8597
_cell_angle_alpha 90.00
_cell_angle_beta 90.00
_cell_angle_gamma 90.00
_space_group_name_H-M_alt 'F -4 3 m'
_space_group_IT_number 216
_space_group_name_Hall 'F -4 2 3'
loop_
_atom_site_label
_atom_site_fract_x
_atom_site_fract_y
_atom_site_fract_z
Li1 0.0000 0.0000 0.0000
Ac1 0.2500 0.2500 0.7500
Ho1 0.2500 0.2500 0.2500
Pb1 0.0000 0.0000 0.5000
```

Output
spin magnetization: 0.0 μB per formula unit
electronic total energy: -60.809 eV for the cell shown
formation energy: -21.6 kJ per mole of atoms



Below is a geometry-optimized Ba4C3 structure, with properties calculated at the PBE level.

Structure (CIF):
```
data_Ba4C3
_cell_length_a 6.4417
_cell_length_b 6.4417
_cell_length_c 6.4417
_cell_angle_alpha 90.00
_cell_angle_beta 90.00
_cell_angle_gamma 90.00
_space_group_name_H-M_alt 'P -4 3 m'
_space_group_IT_number 215
_space_group_name_Hall 'P -4 2 3'
loop_
_atom_site_label
_atom_site_fract_x
_atom_site_fract_y
_atom_site_fract_z
Ba1 0.2399 0.2399 0.2399
C1 0.0000 0.0000 0.5000
```

Output
spin magnetization: 4.1 μB per formula unit
distance to the lowest polymorph of the same formula: 138 meV/atom
electronic total energy: -26.764 eV for the cell shown
formation energy: 118.5 kJ per mole of atoms



Below is a geometry-optimized Pm3CdCo structure, with properties calculated at the PBE level.

Structure (CIF):
```
data_Pm3CdCo
_cell_length_a 10.2576
_cell_length_b 6.6792
_cell_length_c 9.0355
_cell_angle_alpha 90.00
_cell_angle_beta 119.94
_cell_angle_gamma 90.00
_space_group_name_H-M_alt 'C 1 2/m 1'
_space_group_IT_number 12
loop_
_space_group_symop_operation_xyz
'x,y,z'
'-x,-y,-z'
'-x,y,-z'
'x,-y,z'
'x+1/2,y+1/2,z'
'-x+1/2,-y+1/2,-z'
'-x+1/2,y+1/2,-z'
'x+1/2,-y+1/2,z'
loop_
_atom_site_label
_atom_site_fract_x
_atom_site_fract_y
_atom_site_fract_z
Pm1 0.0567 0.0000 0.2385
Pm2 0.1857 0.5000 0.8936
Pm3 0.1991 0.5000 0.2971
Cd1 0.0000 0.2869 0.5000
Co1 0.0000 0.2901 0.0000
```

Output
spin magnetization: 0.0 μB per formula unit
distance to the lowest polymorph of the same formula: 0 meV/atom
electronic total energy: -92.074 eV for the cell shown
formation energy: -14.4 kJ per mole of atoms



Below is a geometry-optimized CdReHg2 structure, with properties calculated at the PBE level.

Structure (CIF):
```
data_CdReHg2
_cell_length_a 2.9004
_cell_length_b 5.0563
_cell_length_c 5.4053
_cell_angle_alpha 90.00
_cell_angle_beta 90.44
_cell_angle_gamma 90.00
_space_group_name_H-M_alt 'P 1 2/m 1'
_space_group_IT_number 10
loop_
_space_group_symop_operation_xyz
'x,y,z'
'-x,-y,-z'
'-x,y,-z'
'x,-y,z'
loop_
_atom_site_label
_atom_site_fract_x
_atom_site_fract_y
_atom_site_fract_z
Cd1 0.0000 0.0000 0.0000
Re1 0.5000 0.0000 0.5000
Hg1 0.2494 0.5000 0.7397
```

Output
spin magnetization: 0.0 μB per formula unit
electronic total energy: -10.930 eV for the cell shown
formation energy: 73.3 kJ per mole of atoms



Below is a geometry-optimized TlAgAu structure, with properties calculated at the PBE level.

Structure (CIF):
```
data_TlAgAu
_cell_length_a 3.6476
_cell_length_b 3.6580
_cell_length_c 9.5585
_cell_angle_alpha 90.00
_cell_angle_beta 90.00
_cell_angle_gamma 90.00
_space_group_name_H-M_alt 'I m m 2'
_space_group_IT_number 44
loop_
_space_group_symop_operation_xyz
'x,y,z'
'-x,-y,z'
'-x,y,z'
'x,-y,z'
'x+1/2,y+1/2,z+1/2'
'-x+1/2,-y+1/2,z+1/2'
'-x+1/2,y+1/2,z+1/2'
'x+1/2,-y+1/2,z+1/2'
loop_
_atom_site_label
_atom_site_fract_x
_atom_site_fract_y
_atom_site_fract_z
Tl1 0.0000 0.0000 0.0000
Ag1 0.0000 0.0000 0.3195
Au1 0.0000 0.0000 0.6760
```

Output
spin magnetization: 0.0 μB per formula unit
distance to the lowest polymorph of the same formula: 53 meV/atom
electronic total energy: -16.674 eV for the cell shown
formation energy: 5.1 kJ per mole of atoms



Below is a geometry-optimized NbCdOs2S structure, with properties calculated at the PBE level.

Structure (CIF):
```
data_NbCdOs2S
_cell_length_a 4.8726
_cell_length_b 4.8726
_cell_length_c 4.5012
_cell_angle_alpha 90.00
_cell_angle_beta 90.00
_cell_angle_gamma 90.00
_space_group_name_H-M_alt 'P 4/m m m'
_space_group_IT_number 123
_space_group_name_Hall '-P 4 2'
loop_
_atom_site_label
_atom_site_fract_x
_atom_site_fract_y
_atom_site_fract_z
Nb1 0.0000 0.0000 0.0000
Cd1 0.5000 0.5000 0.5000
Os1 0.0000 0.5000 0.5000
S1 0.5000 0.5000 0.0000
```

Output
E_form (uncorrected): 2584 meV/atom
spin magnetization: 0.0 μB per formula unit
electronic total energy: -24.650 eV for the cell shown



Below is a geometry-optimized AcAsF structure, with properties calculated at the PBE level.

Structure (CIF):
```
data_AcAsF
_cell_length_a 4.6775
_cell_length_b 4.6775
_cell_length_c 22.7801
_cell_angle_alpha 90.00
_cell_angle_beta 90.00
_cell_angle_gamma 120.00
_space_group_name_H-M_alt 'R -3 m'
_space_group_IT_number 166
_space_group_name_Hall '-R 3 2"'
loop_
_atom_site_label
_atom_site_fract_x
_atom_site_fract_y
_atom_site_fract_z
Ac1 0.0000 0.0000 0.0843
As1 0.0000 0.0000 0.3381
F1 0.0000 0.0000 0.1942
```

Output
E_form (uncorrected): -2171 meV/atom
spin magnetization: 0.0 μB per formula unit
distance to the lowest polymorph of the same formula: 43 meV/atom
electronic total energy: -102.848 eV for the cell shown



Below is a geometry-optimized FePt3W structure, with properties calculated at the PBE level.

Structure (CIF):
```
data_FePt3W
_cell_length_a 4.4727
_cell_length_b 4.4727
_cell_length_c 4.4727
_cell_angle_alpha 90.00
_cell_angle_beta 90.00
_cell_angle_gamma 90.00
_space_group_name_H-M_alt 'P m -3 m'
_space_group_IT_number 221
_space_group_name_Hall '-P 4 2 3'
loop_
_atom_site_label
_atom_site_fract_x
_atom_site_fract_y
_atom_site_fract_z
Fe1 0.0000 0.0000 0.0000
Pt1 0.0000 0.0000 0.5000
W1 0.5000 0.5000 0.5000
```

Output
spin magnetization: 0.0 μB per formula unit
distance to the lowest polymorph of the same formula: 1745 meV/atom
electronic total energy: -31.947 eV for the cell shown
formation energy: 146.5 kJ per mole of atoms



Below is a geometry-optimized Te2Pd structure, with properties calculated at the PBE level.

Structure (CIF):
```
data_Te2Pd
_cell_length_a 4.1019
_cell_length_b 4.1019
_cell_length_c 5.2015
_cell_angle_alpha 90.00
_cell_angle_beta 90.00
_cell_angle_gamma 120.00
_space_group_name_H-M_alt 'P -3 m 1'
_space_group_IT_number 164
_space_group_name_Hall '-P 3 2"'
loop_
_atom_site_label
_atom_site_fract_x
_atom_site_fract_y
_atom_site_fract_z
Te1 0.3333 0.6667 0.2367
Pd1 0.0000 0.0000 0.5000
```

Output
E_form (uncorrected): -332 meV/atom
spin magnetization: 0.0 μB per formula unit
electronic total energy: -12.472 eV for the cell shown



Below is a geometry-optimized SmMg2Cd2 structure, with properties calculated at the PBE level.

Structure (CIF):
```
data_SmMg2Cd2
_cell_length_a 8.6093
_cell_length_b 4.9674
_cell_length_c 6.4581
_cell_angle_alpha 90.00
_cell_angle_beta 116.28
_cell_angle_gamma 90.00
_space_group_name_H-M_alt 'C 1 2/m 1'
_space_group_IT_number 12
loop_
_space_group_symop_operation_xyz
'x,y,z'
'-x,-y,-z'
'-x,y,-z'
'x,-y,z'
'x+1/2,y+1/2,z'
'-x+1/2,-y+1/2,-z'
'-x+1/2,y+1/2,-z'
'x+1/2,-y+1/2,z'
loop_
_atom_site_label
_atom_site_fract_x
_atom_site_fract_y
_atom_site_fract_z
Sm1 0.0000 0.0000 0.0000
Mg1 0.2074 0.0000 0.6203
Cd1 0.0861 0.5000 0.7565
```

Output
spin magnetization: 0.0 μB per formula unit
distance to the lowest polymorph of the same formula: 0 meV/atom
electronic total energy: -21.417 eV for the cell shown
formation energy: -18.7 kJ per mole of atoms



Below is a geometry-optimized LaRe structure, with properties calculated at the PBE level.

Structure (CIF):
```
data_LaRe
_cell_length_a 3.1782
_cell_length_b 3.1782
_cell_length_c 9.5062
_cell_angle_alpha 90.00
_cell_angle_beta 90.00
_cell_angle_gamma 90.00
_space_group_name_H-M_alt 'P 4/n m m'
_space_group_IT_number 129
loop_
_space_group_symop_operation_xyz
'x,y,z'
'-x,-y,-z'
'-y+1/2,x,z'
'y+1/2,-x,-z'
'-x+1/2,-y+1/2,z'
'x+1/2,y+1/2,-z'
'y,-x+1/2,z'
'-y,x+1/2,-z'
'x+1/2,-y,-z'
'-x+1/2,y,z'
'-y,-x,-z'
'y,x,z'
'-x,y+1/2,-z'
'x,-y+1/2,z'
'y+1/2,x+1/2,-z'
'-y+1/2,-x+1/2,z'
loop_
_atom_site_label
_atom_site_fract_x
_atom_site_fract_y
_atom_site_fract_z
La1 0.2500 0.2500 0.1922
Re1 0.2500 0.2500 0.5709
```

Output
spin magnetization: 0.0 μB per formula unit
distance to the lowest polymorph of the same formula: 0 meV/atom
electronic total energy: -34.144 eV for the cell shown
formation energy: 14.6 kJ per mole of atoms